Entry 1:
Entry from the Alexandria database: an optimized crystal structure of Pm7Nd2Tm2 (GGA-PBE).

Values from the calculation:
Crystal system: monoclinic
Energy above the most stable polymorph in this dataset in eV per formula unit: 3.09
E in eV per atom: -4.406
D(E_F) in states/eV per atom: 1.61

a = 6.9775 Å, b = 7.7677 Å, c = 7.7677 Å
α = 109.28°, β = 98.56°, γ = 98.56°
Last column: nearest neighbours and their distance in Å.
Sites, in units of the cell vectors:
Pm  0.3856  0.3218  0.3218  2 Pm 3.19-3.41, 2 Nd 3.48-3.49, 2 Tm 3.54
Pm  0.7894  0.0890  0.5841  1 Nd 3.22, 2 Tm 3.25-3.56, 2 Pm 3.58-3.59
Pm  0.2106  0.9110  0.4159  1 Nd 3.22, 2 Tm 3.25-3.56, 2 Pm 3.58-3.59
Pm  0.6144  0.6782  0.6782  2 Pm 3.19-3.41, 2 Nd 3.48-3.49, 2 Tm 3.54
Pm  0.7894  0.5841  0.0890  1 Nd 3.22, 2 Tm 3.25-3.56, 2 Pm 3.58-3.59
Pm  0.2106  0.4159  0.9110  1 Nd 3.22, 2 Tm 3.25-3.56, 2 Pm 3.58-3.59
Pm  0.0000  0.0000  0.0000  2 Nd 3.18, 2 Pm 3.41
Nd  0.1139  0.6792  0.6792  5 Pm 3.18-3.49, 1 Nd 3.21
Nd  0.8861  0.3208  0.3208  5 Pm 3.18-3.49, 1 Nd 3.21
Tm  0.5000  0.1209  0.8791  1 Tm 3.06, 2 Pm 3.25
Tm  0.5000  0.8791  0.1209  1 Tm 3.06, 2 Pm 3.25

Entry 2:
Entry from the Alexandria database: an optimized crystal structure of Pm3Nd2Tm5 (GGA-PBE).

Values from the calculation:
Crystal system: monoclinic
Energy above the most stable polymorph in this dataset in eV per formula unit: 0.00
E in eV per atom: -4.433
D(E_F) in states/eV per atom: 1.57

a = 9.3894 Å, b = 9.3715 Å, c = 11.1423 Å
α = 124.91°, β = 124.95°, γ = 68.88°
Last column: nearest neighbours and their distance in Å.
Sites, in units of the cell vectors:
Pm  0.0332  0.7713  0.2562  1 Nd 3.12, 6 Tm 3.30-3.49
Pm  0.2770  0.5152  0.7438  1 Nd 3.12, 6 Tm 3.30-3.49
Pm  0.7708  0.0208  0.0415  1 Tm 3.25, 4 Nd 3.31-3.57, 2 Pm 3.57
Pm  0.9668  0.2287  0.7438  1 Nd 3.12, 6 Tm 3.30-3.49
Pm  0.2292  0.9792  0.9585  1 Tm 3.25, 4 Nd 3.31-3.57, 2 Pm 3.57
Pm  0.7230  0.4848  0.2562  1 Nd 3.12, 6 Tm 3.30-3.49
Nd  0.7665  0.0275  0.7458  2 Pm 3.12-3.31, 5 Tm 3.29-3.49
Nd  0.2335  0.9725  0.2542  2 Pm 3.12-3.31, 5 Tm 3.29-3.49
Nd  0.5207  0.2817  0.2542  2 Pm 3.12-3.31, 5 Tm 3.29-3.49
Nd  0.4793  0.7183  0.7458  2 Pm 3.12-3.31, 5 Tm 3.29-3.49
Tm  0.5237  0.2737  0.5474  4 Nd 3.29-3.42, 3 Tm 3.32-3.49, 2 Pm 3.41
Tm  0.7307  0.4807  0.9614  4 Pm 3.30-3.49, 3 Tm 3.32-3.61, 2 Nd 3.48
Tm  0.3543  0.1086  0.7315  3 Pm 3.46-3.66, 3 Tm 3.48-3.61, 2 Nd 3.48-3.59
Tm  0.8772  0.6229  0.7315  3 Pm 3.46-3.66, 3 Tm 3.48-3.61, 2 Nd 3.48-3.59
Tm  0.6457  0.8914  0.2685  3 Pm 3.46-3.66, 3 Tm 3.48-3.61, 2 Nd 3.48-3.59
Tm  0.4763  0.7263  0.4526  4 Nd 3.29-3.42, 3 Tm 3.32-3.49, 2 Pm 3.41
Tm  0.2693  0.5193  0.0386  4 Pm 3.30-3.49, 3 Tm 3.32-3.61, 2 Nd 3.48
Tm  0.1228  0.3771  0.2685  3 Pm 3.46-3.66, 3 Tm 3.48-3.61, 2 Nd 3.48-3.59
Tm  0.9736  0.2236  0.4472  5 Pm 3.25-3.48, 2 Tm 3.48, 2 Nd 3.49
Tm  0.0264  0.7764  0.5528  5 Pm 3.25-3.48, 2 Tm 3.48, 2 Nd 3.49

Entry 3:
Entry from the Alexandria database: an optimized crystal structure of PmNd6Tm4 (GGA-PBE).

Values from the calculation:
Crystal system: hexagonal
Energy above the most stable polymorph in this dataset in eV per formula unit: 0.47
E in eV per atom: -4.509
D(E_F) in states/eV per atom: 1.40

a = 3.5752 Å, b = 11.0759 Å, c = 11.0759 Å
α = 120.00°, β = 90.00°, γ = 90.00°
Last column: nearest neighbours and their distance in Å.
Sites, in units of the cell vectors:
Tm  0.5000  0.8391  0.1609  6 Nd 3.31-3.55, 2 Pm 3.57, 2 Tm 3.58
Tm  0.5000  0.8391  0.6782  6 Nd 3.31-3.55, 2 Pm 3.57, 2 Tm 3.58
Tm  0.5000  0.3218  0.1609  6 Nd 3.31-3.55, 2 Pm 3.57, 2 Tm 3.58
Tm  0.0000  0.3333  0.6667  9 Nd 3.40-3.65, 2 Tm 3.58
Nd  0.5000  0.6349  0.8175  4 Tm 3.31-3.40, 2 Nd 3.58
Nd  0.5000  0.1825  0.8175  4 Tm 3.31-3.40, 2 Nd 3.58
Nd  0.0000  0.5235  0.0470  5 Tm 3.55-3.65, 6 Nd 3.58-3.78
Nd  0.0000  0.5235  0.4765  5 Tm 3.55-3.65, 6 Nd 3.58-3.78
Nd  0.0000  0.9530  0.4765  5 Tm 3.55-3.65, 6 Nd 3.58-3.78
Nd  0.5000  0.1825  0.3651  4 Tm 3.31-3.40, 2 Nd 3.58
Pm  0.0000  0.0000  0.0000  6 Tm 3.57, 2 Pm 3.58, 6 Nd 3.93

Entry 4:
Entry from the Alexandria database: an optimized crystal structure of Pm5Nd4Tm2 (GGA-PBE).

Values from the calculation:
Crystal system: monoclinic
Energy above the most stable polymorph in this dataset in eV per formula unit: 0.00
E in eV per atom: -4.612
D(E_F) in states/eV per atom: 1.54

a = 3.5715 Å, b = 8.7910 Å, c = 12.2775 Å
α = 94.37°, β = 98.36°, γ = 90.00°
Last column: nearest neighbours and their distance in Å.
Sites, in units of the cell vectors:
Nd  0.0399  0.3468  0.0797  3 Nd 3.44-3.57, 4 Tm 3.57-3.67, 4 Pm 3.57-3.60
Nd  0.9601  0.6532  0.9203  3 Nd 3.44-3.57, 4 Tm 3.57-3.67, 4 Pm 3.57-3.60
Nd  0.7258  0.8261  0.4516  1 Tm 3.46, 4 Nd 3.57-3.66, 6 Pm 3.57-3.64
Nd  0.2742  0.1739  0.5484  1 Tm 3.46, 4 Nd 3.57-3.66, 6 Pm 3.57-3.64
Pm  0.8699  0.9547  0.7399  4 Nd 3.57-3.61, 5 Pm 3.57-3.91, 2 Tm 3.63
Pm  0.8162  0.5243  0.6323  5 Pm 3.57-3.91, 4 Nd 3.57-3.64, 2 Tm 3.63
Pm  0.5000  0.0000  0.0000  2 Tm 3.53, 6 Pm 3.57-3.62, 4 Nd 3.60
Pm  0.1838  0.4757  0.3677  5 Pm 3.57-3.91, 4 Nd 3.57-3.64, 2 Tm 3.63
Pm  0.1301  0.0453  0.2601  4 Nd 3.57-3.61, 5 Pm 3.57-3.91, 2 Tm 3.63
Tm  0.4126  0.3029  0.8252  5 Nd 3.46-3.67, 5 Pm 3.53-3.63, 2 Tm 3.57
Tm  0.5874  0.6971  0.1748  5 Nd 3.46-3.67, 5 Pm 3.53-3.63, 2 Tm 3.57

Entry 5:
Entry from the Alexandria database: an optimized crystal structure of Pm2NdTm3 (GGA-PBE).

Values from the calculation:
Crystal system: monoclinic
Energy above the most stable polymorph in this dataset in eV per formula unit: 0.00
E in eV per atom: -4.543
D(E_F) in states/eV per atom: 1.46

a = 6.6471 Å, b = 6.6471 Å, c = 8.9721 Å
α = 97.84°, β = 97.84°, γ = 95.24°
Last column: nearest neighbours and their distance in Å.
Sites, in units of the cell vectors:
Pm  0.1301  0.6236  0.8738  2 Pm 3.43-3.52, 9 Tm 3.65-3.75, 3 Nd 3.69-3.75
Pm  0.3764  0.8699  0.6262  2 Pm 3.43-3.52, 9 Tm 3.65-3.75, 3 Nd 3.69-3.75
Pm  0.8699  0.3764  0.1262  2 Pm 3.43-3.52, 9 Tm 3.65-3.75, 3 Nd 3.69-3.75
Pm  0.6236  0.1301  0.3738  2 Pm 3.43-3.52, 9 Tm 3.65-3.75, 3 Nd 3.69-3.75
Nd  0.0856  0.9144  0.2500  5 Tm 3.27-3.48
Nd  0.9144  0.0856  0.7500  5 Tm 3.27-3.48
Tm  0.5810  0.4190  0.7500  4 Tm 3.27-3.47, 1 Nd 3.27, 2 Pm 3.65
Tm  0.8341  0.6667  0.5012  3 Tm 3.27-3.47, 2 Nd 3.28-3.48
Tm  0.6667  0.8341  0.0012  3 Tm 3.27-3.47, 2 Nd 3.28-3.48
Tm  0.1659  0.3333  0.4988  3 Tm 3.27-3.47, 2 Nd 3.28-3.48
Tm  0.4190  0.5810  0.2500  4 Tm 3.27-3.47, 1 Nd 3.27, 2 Pm 3.65
Tm  0.3333  0.1659  0.9988  3 Tm 3.27-3.47, 2 Nd 3.28-3.48

Entry 6:
Entry from the Alexandria database: an optimized crystal structure of PmNdTm2 (GGA-PBE).

Values from the calculation:
Crystal system: monoclinic
Energy above the most stable polymorph in this dataset in eV per formula unit: 0.01
E in eV per atom: -4.596
D(E_F) in states/eV per atom: 1.74

a = 7.2760 Å, b = 6.2983 Å, c = 13.0549 Å
α = 118.90°, β = 90.00°, γ = 90.00°
Last column: nearest neighbours and their distance in Å.
Sites, in units of the cell vectors:
Pm  0.5006  0.0421  0.3750  4 Nd 3.53-3.65, 6 Tm 3.54-3.67, 2 Pm 3.55
Pm  0.4994  0.5421  0.8750  4 Nd 3.53-3.65, 6 Tm 3.54-3.67, 2 Pm 3.55
Pm  0.4994  0.9579  0.6250  4 Nd 3.53-3.65, 6 Tm 3.54-3.67, 2 Pm 3.55
Pm  0.5006  0.4579  0.1250  4 Nd 3.53-3.65, 6 Tm 3.54-3.67, 2 Pm 3.55
Tm  0.9999  0.0406  0.3749  6 Tm 3.50-3.63, 4 Nd 3.52-3.63, 2 Pm 3.63-3.64
Tm  0.0001  0.5406  0.8749  6 Tm 3.50-3.63, 4 Nd 3.52-3.63, 2 Pm 3.63-3.64
Tm  0.0001  0.9594  0.6251  6 Tm 3.50-3.63, 4 Nd 3.52-3.63, 2 Pm 3.63-3.64
Tm  0.2444  0.9589  0.1277  5 Tm 3.50-3.63, 4 Pm 3.54-3.67, 3 Nd 3.54-3.69
Tm  0.7556  0.0411  0.8723  5 Tm 3.50-3.63, 4 Pm 3.54-3.67, 3 Nd 3.54-3.69
Tm  0.2444  0.5411  0.3723  5 Tm 3.50-3.63, 4 Pm 3.54-3.67, 3 Nd 3.54-3.69
Tm  0.9999  0.4594  0.1251  6 Tm 3.50-3.63, 4 Nd 3.52-3.63, 2 Pm 3.63-3.64
Tm  0.7556  0.4589  0.6277  5 Tm 3.50-3.63, 4 Pm 3.54-3.67, 3 Nd 3.54-3.69
Nd  0.7520  0.9570  0.1219  7 Tm 3.52-3.69, 4 Pm 3.53-3.65, 1 Nd 3.59
Nd  0.2480  0.4570  0.6219  7 Tm 3.52-3.69, 4 Pm 3.53-3.65, 1 Nd 3.59
Nd  0.2480  0.0430  0.8781  7 Tm 3.52-3.69, 4 Pm 3.53-3.65, 1 Nd 3.59
Nd  0.7520  0.5430  0.3781  7 Tm 3.52-3.69, 4 Pm 3.53-3.65, 1 Nd 3.59

Entry 7:
Entry from the Alexandria database: an optimized crystal structure of PmNd2Tm8 (GGA-PBE).

Values from the calculation:
Crystal system: monoclinic
Energy above the most stable polymorph in this dataset in eV per formula unit: 0.00
E in eV per atom: -4.524
D(E_F) in states/eV per atom: 1.38

a = 5.0078 Å, b = 7.9071 Å, c = 9.3605 Å
α = 104.63°, β = 105.52°, γ = 90.00°
Last column: nearest neighbours and their distance in Å.
Sites, in units of the cell vectors:
Tm  0.9556  0.2735  0.9111  9 Tm 3.51-3.54, 2 Pm 3.54, 1 Nd 3.55
Tm  0.6812  0.9075  0.3624  8 Tm 3.53-3.56, 3 Nd 3.53-3.55, 1 Pm 3.53
Tm  0.3188  0.0925  0.6376  8 Tm 3.53-3.56, 3 Nd 3.53-3.55, 1 Pm 3.53
Tm  0.0444  0.7265  0.0889  9 Tm 3.51-3.54, 2 Pm 3.54, 1 Nd 3.55
Tm  0.1358  0.1789  0.2716  7 Tm 3.52-3.56, 2 Pm 3.53, 3 Nd 3.55-3.57
Tm  0.4104  0.5452  0.8208  8 Tm 3.49-3.56, 1 Pm 3.54, 3 Nd 3.56
Tm  0.5896  0.4548  0.1792  8 Tm 3.49-3.56, 1 Pm 3.54, 3 Nd 3.56
Tm  0.8642  0.8211  0.7284  7 Tm 3.52-3.56, 2 Pm 3.53, 3 Nd 3.55-3.57
Nd  0.7727  0.3628  0.5454  10 Tm 3.53-3.57, 2 Nd 3.55
Nd  0.2273  0.6372  0.4546  10 Tm 3.53-3.57, 2 Nd 3.55
Pm  0.5000  0.0000  0.0000  12 Tm 3.53-3.54

Entry 8:
Entry from the Alexandria database: an optimized crystal structure of Pm4NdTm8 (GGA-PBE).

Values from the calculation:
Crystal system: trigonal
E in eV per atom: -4.375
D(E_F) in states/eV per atom: 1.24

a = 7.3458 Å, b = 7.3458 Å, c = 9.8704 Å
α = 90.00°, β = 111.85°, γ = 120.00°
Last column: nearest neighbours and their distance in Å.
Sites, in units of the cell vectors:
Tm  0.0629  0.8127  0.3130  1 Nd 2.91, 2 Tm 3.21
Tm  0.5003  0.2501  0.3130  1 Nd 2.91, 2 Tm 3.21
Tm  0.0629  0.2501  0.3130  1 Nd 2.91, 2 Tm 3.21
Tm  0.9371  0.7499  0.6870  1 Nd 2.91, 2 Tm 3.21
Tm  0.9371  0.1873  0.6870  1 Nd 2.91, 2 Tm 3.21
Tm  0.4371  0.2186  0.6557  9 Tm 3.57-3.69, 3 Pm 3.73
Tm  0.4997  0.7499  0.6870  1 Nd 2.91, 2 Tm 3.21
Tm  0.5629  0.7814  0.3443  9 Tm 3.57-3.69, 3 Pm 3.73
Pm  0.5000  0.5000  0.0000  6 Tm 3.59-3.73, 6 Pm 3.67
Pm  0.0000  0.0000  0.0000  6 Tm 3.35, 6 Pm 3.67
Pm  0.5000  0.0000  0.0000  6 Tm 3.59-3.73, 6 Pm 3.67
Pm  0.0000  0.5000  0.0000  6 Tm 3.59-3.73, 6 Pm 3.67
Nd  0.0000  0.5000  0.5000  6 Tm 2.91

Entry 9:
Entry from the Alexandria database: an optimized crystal structure of Pm3NdTm6 (GGA-PBE).

Values from the calculation:
Crystal system: trigonal
Energy above the most stable polymorph in this dataset in eV per formula unit: 1.58
E in eV per atom: -4.278
D(E_F) in states/eV per atom: 2.03

a = 9.8612 Å, b = 9.8612 Å, c = 6.8728 Å
α = 44.16°, β = 44.16°, γ = 60.00°
Last column: nearest neighbours and their distance in Å.
Sites, in units of the cell vectors:
Pm  0.6477  0.6477  0.0570  1 Pm 2.87, 1 Nd 2.90
Pm  0.1496  0.1496  0.5512  1 Pm 2.88, 1 Nd 2.89
Pm  0.3990  0.3990  0.8031  2 Pm 2.87-2.88
Nd  0.8990  0.8990  0.3030  2 Pm 2.89-2.90, 3 Tm 3.24
Tm  0.7286  0.0728  0.7976  3 Pm 3.23-3.46
Tm  0.2294  0.9010  0.2976  1 Nd 3.24, 2 Pm 3.44-3.45
Tm  0.4009  0.7286  0.7976  3 Pm 3.23-3.46
Tm  0.5720  0.2294  0.2976  1 Nd 3.24, 2 Pm 3.44-3.45
Tm  0.0728  0.4009  0.7976  3 Pm 3.23-3.46
Tm  0.9010  0.5720  0.2976  1 Nd 3.24, 2 Pm 3.44-3.45

Number 1: formation energy from the elements 0.30 eV per atom. Number 2: formation energy from the elements 0.18 eV per atom. Number 3: formation energy from the elements 0.15 eV per atom. Number 4: formation energy from the elements 0.09 eV per atom. Number 5: formation energy from the elements 0.07 eV per atom. Number 6: formation energy from the elements 0.02 eV per atom. Number 7: formation energy from the elements 0.03 eV per atom. Number 8: formation energy from the elements 0.21 eV per atom. Number 9: formation energy from the elements 0.31 eV per atom.